A plane-wave DFT calculation with PBE-GGA was carried out for a relaxed structure of Li2ZrTaAl2Ir2.

## Properties
Final energy ... -55.02 eV for the cell shown

a b c (Å): 4.411 4.411 6.237
angles (deg): 90.00 90.00 90.00
Sites, in units of the cell vectors:
Al 0.500 0.500 0.000
Al 0.000 0.000 0.500
Ir 0.500 0.000 0.236
Ir 0.000 0.500 0.764
Li 0.000 0.500 0.246
Li 0.500 0.000 0.754
Ta 0.000 0.000 0.000
Zr 0.500 0.500 0.500